Record 1
Here is a PBEsol-optimized structure of Hf2N from Alexandria. Energies are from SCAN.

Unit cell a=5.289 b=5.289 c=3.220 alpha=90.00 beta=90.00 gamma=90.00
Fractional coordinates of all 6 atoms:
Hf 0.205 0.205 0.000
Hf 0.295 0.705 0.500
Hf 0.705 0.295 0.500
Hf 0.795 0.795 0.000
N 0.000 0.000 0.500
N 0.500 0.500 0.000

## Properties
Density of states at the Fermi level: 0.420 states/eV per atom
Uncorrected formation energy: -1.383 eV/atom
Space-group type: P4_2/mnm, No. 136
Crystal system: tetragonal

Record 2
Here is a PBEsol-optimized structure of Hf3N4 from Alexandria. Energies are from SCAN.

Unit cell a=8.507 b=8.507 c=8.507 alpha=22.90 beta=22.90 gamma=22.90
Fractional coordinates of all 7 atoms:
Hf 0.000 0.000 0.000
Hf 0.222 0.222 0.222
Hf 0.778 0.778 0.778
N 0.132 0.132 0.132
N 0.378 0.378 0.378
N 0.622 0.622 0.622
N 0.868 0.868 0.868

## Properties
E above lowest polymorph: 52 kJ/mol of formula units
Density of states at the Fermi level: 0.000 states/eV per atom
Uncorrected formation energy: -1.862 eV/atom
Space-group type: R-3m, No. 166
Crystal system: trigonal

Record 3
Here is a PBEsol-optimized structure of Hf3N2 from Alexandria. Energies are from SCAN.

Unit cell a=7.913 b=7.913 c=7.913 alpha=23.24 beta=23.24 gamma=23.24
Fractional coordinates of all 5 atoms:
Hf 0.000 0.000 0.000
Hf 0.221 0.221 0.221
Hf 0.779 0.779 0.779
N 0.389 0.389 0.389
N 0.611 0.611 0.611

## Properties
Density of states at the Fermi level: 0.268 states/eV per atom
Uncorrected formation energy: -1.647 eV/atom
Space-group type: R-3m, No. 166
Crystal system: trigonal

Record 4
Here is a PBEsol-optimized structure of Hf3N2 from Alexandria. Energies are from SCAN.

Unit cell a=8.067 b=8.067 c=8.067 alpha=22.55 beta=22.55 gamma=22.55
Fractional coordinates of all 5 atoms:
Hf 0.000 0.000 0.000
Hf 0.222 0.222 0.222
Hf 0.777 0.777 0.777
N 0.497 0.497 0.497
N 0.612 0.612 0.612

## Properties
Density of states at the Fermi level: 0.586 states/eV per atom
Uncorrected formation energy: -1.545 eV/atom
Space-group type: R3m, No. 160
Crystal system: trigonal

Record 5
Here is a PBEsol-optimized structure of NaHf3N from Alexandria. Energies are from SCAN.

Unit cell a=4.460 b=4.460 c=4.460 alpha=90.00 beta=90.00 gamma=90.00
Fractional coordinates of all 5 atoms:
Na 0.000 0.000 0.000
Hf 0.000 0.500 0.500
Hf 0.500 0.000 0.500
Hf 0.500 0.500 0.000
N 0.500 0.500 0.500

## Properties
Density of states at the Fermi level: 0.636 states/eV per atom
Uncorrected formation energy: -0.296 eV/atom
Space-group type: Pm-3m, No. 221
Crystal system: cubic

Record 6
Here is a PBEsol-optimized structure of NaHf2N from Alexandria. Energies are from SCAN.

Unit cell a=6.225 b=6.225 c=6.225 alpha=116.90 beta=116.90 gamma=95.45
Fractional coordinates of all 8 atoms:
Na 0.000 0.000 0.000
Na 0.750 0.250 0.500
Hf 0.275 0.625 0.150
Hf 0.375 0.525 0.650
Hf 0.475 0.125 0.850
Hf 0.875 0.725 0.350
N 0.250 0.750 0.500
N 0.500 0.500 0.000

## Properties
Density of states at the Fermi level: 0.793 states/eV per atom
Uncorrected formation energy: -0.130 eV/atom
Space-group type: I-42d, No. 122
Crystal system: tetragonal

Record 7
Here is a PBEsol-optimized structure of NaHfSeN2 from Alexandria. Energies are from SCAN.

Unit cell a=4.030 b=4.030 c=4.697 alpha=90.00 beta=90.00 gamma=90.00
Fractional coordinates of all 5 atoms:
Na 0.000 0.000 0.000
Hf 0.500 0.500 0.500
Se 0.000 0.000 0.500
N 0.000 0.500 0.000
N 0.500 0.000 0.000

## Properties
Density of states at the Fermi level: 0.355 states/eV per atom
Uncorrected formation energy: 1.350 eV/atom
Space-group type: P4/mmm, No. 123
Crystal system: tetragonal

Record 8
Here is a PBEsol-optimized structure of HfNbN3 from Alexandria. Energies are from SCAN.

Unit cell a=3.970 b=3.970 c=3.970 alpha=90.00 beta=90.00 gamma=90.00
Fractional coordinates of all 5 atoms:
Hf 0.000 0.000 0.000
Nb 0.500 0.500 0.500
N 0.000 0.500 0.500
N 0.500 0.000 0.500
N 0.500 0.500 0.000

## Properties
Density of states at the Fermi level: 0.103 states/eV per atom
Uncorrected formation energy: -0.209 eV/atom
Space-group type: Pm-3m, No. 221
Crystal system: cubic

Record 9
Here is a PBEsol-optimized structure of HfNbSN2 from Alexandria. Energies are from SCAN.

Unit cell a=3.967 b=3.967 c=4.756 alpha=90.00 beta=90.00 gamma=90.00
Fractional coordinates of all 5 atoms:
Hf 0.000 0.000 0.000
Nb 0.500 0.500 0.500
S 0.500 0.500 0.000
N 0.000 0.500 0.500
N 0.500 0.000 0.500

## Properties
Density of states at the Fermi level: 0.464 states/eV per atom
Uncorrected formation energy: -0.093 eV/atom
Space-group type: P4/mmm, No. 123
Crystal system: tetragonal

Record 10
Here is a PBEsol-optimized structure of HfNbSeN2 from Alexandria. Energies are from SCAN.

Unit cell a=3.990 b=3.990 c=5.024 alpha=90.00 beta=90.00 gamma=90.00
Fractional coordinates of all 5 atoms:
Hf 0.000 0.000 0.000
Nb 0.500 0.500 0.500
Se 0.500 0.500 0.000
N 0.000 0.500 0.500
N 0.500 0.000 0.500

## Properties
Density of states at the Fermi level: 0.445 states/eV per atom
Uncorrected formation energy: 0.070 eV/atom
Space-group type: P4/mmm, No. 123
Crystal system: tetragonal

Record 11
Here is a PBEsol-optimized structure of Hf3NiN from Alexandria. Energies are from SCAN.

Unit cell a=4.295 b=4.295 c=4.295 alpha=90.00 beta=90.00 gamma=90.00
Fractional coordinates of all 5 atoms:
Hf 0.000 0.000 0.500
Hf 0.000 0.500 0.000
Hf 0.500 0.000 0.000
Ni 0.500 0.500 0.500
N 0.000 0.000 0.000

## Properties
Density of states at the Fermi level: 0.433 states/eV per atom
Uncorrected formation energy: -0.848 eV/atom
Space-group type: Pm-3m, No. 221
Crystal system: cubic

Record 12
Here is a PBEsol-optimized structure of HfNiN2 from Alexandria. Energies are from SCAN.

Unit cell a=5.856 b=5.856 c=5.856 alpha=135.87 beta=135.87 gamma=64.18
Fractional coordinates of all 8 atoms:
Hf 0.000 0.000 0.000
Hf 0.750 0.250 0.500
Ni 0.250 0.750 0.500
Ni 0.500 0.500 0.000
N 0.149 0.625 0.024
N 0.375 0.399 0.524
N 0.601 0.125 0.976
N 0.875 0.851 0.476

## Properties
Density of states at the Fermi level: 0.306 states/eV per atom
Uncorrected formation energy: -0.797 eV/atom
Space-group type: I-42d, No. 122
Crystal system: tetragonal